No. 1
# ScTeP2 | Alexandria via LeMat-Bulk | GGA-PBEsol | relaxed
# - mass density (g/cm3) = 5.1
# - formation energy (no corrections) (eV per atom) = -0.26
# - total energy (eV/cell) = -22.738
# - spin magnetization (μB/f.u.) = 0.0
data_ScTeP2
_chemical_formula_sum 'Sc1 Te1 P2'
_space_group_name_H-M_alt 'P m m m'
_space_group_IT_number 47
_space_group_name_Hall '-P 2 2'
_cell_length_a 3.505
_cell_length_b 4.089
_cell_length_c 5.348
_cell_angle_alpha 90.00
_cell_angle_beta 90.00
_cell_angle_gamma 90.00
loop_
_atom_site_label
_atom_site_fract_x
_atom_site_fract_y
_atom_site_fract_z
Sc1 0.000 0.000 0.000
Te1 0.000 0.500 0.500
P1 0.500 0.000 0.500
P2 0.500 0.500 0.000


No. 2
# ScTe2P | Alexandria via LeMat-Bulk | GGA-PBEsol | relaxed
# - mass density (g/cm3) = 6.1
# - formation energy (no corrections) (eV per atom) = -0.40
# - total energy (eV/cell) = -21.062
# - spin magnetization (μB/f.u.) = 0.0
data_ScTe2P
_chemical_formula_sum 'Sc1 Te2 P1'
_space_group_name_H-M_alt 'P 1 2/m 1'
_space_group_IT_number 10
_space_group_name_Hall '-P 2y'
_cell_length_a 3.966
_cell_length_b 3.684
_cell_length_c 6.296
_cell_angle_alpha 90.00
_cell_angle_beta 100.45
_cell_angle_gamma 90.00
loop_
_atom_site_label
_atom_site_fract_x
_atom_site_fract_y
_atom_site_fract_z
Sc1 0.000 0.000 0.000
Te1 0.386 0.500 0.749
P1 0.000 0.000 0.500


No. 3
# ScTi3P | Alexandria via LeMat-Bulk | GGA-PBEsol | relaxed
# - mass density (g/cm3) = 3.8
# - total energy (eV/cell) = -38.726
# - calculated formation energy (eV/f.u.) = -1.4
# - spin magnetization (μB/f.u.) = 0.0
data_ScTi3P
_chemical_formula_sum 'Sc1 Ti3 P1'
_space_group_name_H-M_alt 'P m -3 m'
_space_group_IT_number 221
_space_group_name_Hall '-P 4 2 3'
_cell_length_a 4.566
_cell_length_b 4.566
_cell_length_c 4.566
_cell_angle_alpha 90.00
_cell_angle_beta 90.00
_cell_angle_gamma 90.00
loop_
_atom_site_label
_atom_site_fract_x
_atom_site_fract_y
_atom_site_fract_z
Sc1 0.000 0.000 0.000
Ti1 0.000 0.500 0.500
P1 0.500 0.500 0.500


No. 4
# ScTlP2 | Alexandria via LeMat-Bulk | GGA-PBEsol | relaxed
# - mass density (g/cm3) = 7.0
# - ΔE to the lowest computed polymorph (meV per atom) = 85
# - total energy (eV/cell) = -43.064
# - calculated formation energy (eV/f.u.) = -0.7
# - spin magnetization (μB/f.u.) = 0.0
data_ScTlP2
_chemical_formula_sum 'Sc2 Tl2 P4'
_space_group_name_H-M_alt 'I 4/m m m'
_space_group_IT_number 139
_space_group_name_Hall '-I 4 2'
_cell_length_a 4.321
_cell_length_b 4.321
_cell_length_c 7.944
_cell_angle_alpha 90.00
_cell_angle_beta 90.00
_cell_angle_gamma 90.00
loop_
_atom_site_label
_atom_site_fract_x
_atom_site_fract_y
_atom_site_fract_z
Sc1 0.000 0.000 0.000
Tl1 0.000 0.000 0.500
P1 0.000 0.500 0.250


No. 5
# Sc2TlP | Alexandria via LeMat-Bulk | GGA-PBEsol | relaxed
# - mass density (g/cm3) = 6.8
# - ΔE to the lowest computed polymorph (meV per atom) = 232
# - total energy (eV/cell) = -49.033
# - calculated formation energy (eV/f.u.) = -2.9
# - spin magnetization (μB/f.u.) = 0.0
data_Sc2TlP
_chemical_formula_sum 'Sc4 Tl2 P2'
_space_group_name_H-M_alt 'C m m m'
_space_group_IT_number 65
_space_group_name_Hall '-C 2 2'
_cell_length_a 4.047
_cell_length_b 5.028
_cell_length_c 7.850
_cell_angle_alpha 90.00
_cell_angle_beta 90.00
_cell_angle_gamma 90.00
loop_
_atom_site_label
_atom_site_fract_x
_atom_site_fract_y
_atom_site_fract_z
Sc1 0.000 0.000 0.205
Tl1 0.000 0.500 0.500
P1 0.000 0.500 0.000


No. 6
# Sc2TlP | Alexandria via LeMat-Bulk | GGA-PBEsol | relaxed
# - mass density (g/cm3) = 6.4
# - ΔE to the lowest computed polymorph (meV per atom) = 0
# - total energy (eV/cell) = -76.328
# - calculated formation energy (eV/f.u.) = -3.8
# - spin magnetization (μB/f.u.) = 0.0
data_Sc2TlP
_chemical_formula_sum 'Sc6 Tl3 P3'
_space_group_name_H-M_alt 'R -3 m'
_space_group_IT_number 166
_space_group_name_Hall '-R 3 2"'
_cell_length_a 3.6092
_cell_length_b 3.6092
_cell_length_c 22.5408
_cell_angle_alpha 90.00
_cell_angle_beta 90.00
_cell_angle_gamma 120.00
loop_
_atom_site_label
_atom_site_fract_x
_atom_site_fract_y
_atom_site_fract_z
Sc1 0.0000 0.0000 0.2320
Tl1 0.0000 0.0000 0.0000
P1 0.0000 0.0000 0.5000


No. 7
# Sc3TlP | Alexandria via LeMat-Bulk | GGA-PBEsol | relaxed
# - mass density (g/cm3) = 5.9
# - ΔE to the lowest computed polymorph (meV per atom) = 0
# - total energy (eV/cell) = -64.391
# - calculated formation energy (eV/f.u.) = -4.0
# - spin magnetization (μB/f.u.) = 0.0
data_Sc3TlP
_chemical_formula_sum 'Sc6 Tl2 P2'
_space_group_name_H-M_alt 'P 1 21/m 1'
_space_group_IT_number 11
_space_group_name_Hall '-P 2yb'
_cell_length_a 6.429
_cell_length_b 3.926
_cell_length_c 8.387
_cell_angle_alpha 90.00
_cell_angle_beta 99.60
_cell_angle_gamma 90.00
loop_
_atom_site_label
_atom_site_fract_x
_atom_site_fract_y
_atom_site_fract_z
Sc1 0.030 0.250 0.172
Sc2 0.335 0.750 0.406
Sc3 0.468 0.750 0.836
Tl1 0.171 0.250 0.622
P1 0.264 0.750 0.088


No. 8
# ScTlP2 | Alexandria via LeMat-Bulk | GGA-PBEsol | relaxed
# - mass density (g/cm3) = 7.1
# - ΔE to the lowest computed polymorph (meV per atom) = 0
# - total energy (eV/cell) = -43.745
# - calculated formation energy (eV/f.u.) = -1.1
# - spin magnetization (μB/f.u.) = 0.0
data_ScTlP2
_chemical_formula_sum 'Sc2 Tl2 P4'
_space_group_name_H-M_alt 'C m m m'
_space_group_IT_number 65
_space_group_name_Hall '-C 2 2'
_cell_length_a 6.356
_cell_length_b 6.472
_cell_length_c 3.546
_cell_angle_alpha 90.00
_cell_angle_beta 90.00
_cell_angle_gamma 90.00
loop_
_atom_site_label
_atom_site_fract_x
_atom_site_fract_y
_atom_site_fract_z
Sc1 0.000 0.000 0.000
Tl1 0.000 0.500 0.000
P1 0.250 0.250 0.500


No. 9
# Sc3TlP | Alexandria via LeMat-Bulk | GGA-PBEsol | relaxed
# - mass density (g/cm3) = 5.4
# - ΔE to the lowest computed polymorph (meV per atom) = 58
# - total energy (eV/cell) = -31.906
# - calculated formation energy (eV/f.u.) = -3.7
# - spin magnetization (μB/f.u.) = 0.0
data_Sc3TlP
_chemical_formula_sum 'Sc3 Tl1 P1'
_space_group_name_H-M_alt 'P m -3 m'
_space_group_IT_number 221
_space_group_name_Hall '-P 4 2 3'
_cell_length_a 4.833
_cell_length_b 4.833
_cell_length_c 4.833
_cell_angle_alpha 90.00
_cell_angle_beta 90.00
_cell_angle_gamma 90.00
loop_
_atom_site_label
_atom_site_fract_x
_atom_site_fract_y
_atom_site_fract_z
Sc1 0.000 0.000 0.500
Tl1 0.500 0.500 0.500
P1 0.000 0.000 0.000


No. 10
# Sc2TlP | Alexandria via LeMat-Bulk | GGA-PBEsol | relaxed
# - mass density (g/cm3) = 7.0
# - ΔE to the lowest computed polymorph (meV per atom) = 434
# - total energy (eV/cell) = -23.708
# - calculated formation energy (eV/f.u.) = -2.1
# - spin magnetization (μB/f.u.) = 0.0
data_Sc2TlP
_chemical_formula_sum 'Sc2 Tl1 P1'
_space_group_name_H-M_alt 'P 4/m m m'
_space_group_IT_number 123
_space_group_name_Hall '-P 4 2'
_cell_length_a 4.537
_cell_length_b 4.537
_cell_length_c 3.775
_cell_angle_alpha 90.00
_cell_angle_beta 90.00
_cell_angle_gamma 90.00
loop_
_atom_site_label
_atom_site_fract_x
_atom_site_fract_y
_atom_site_fract_z
Sc1 0.000 0.500 0.000
Tl1 0.000 0.000 0.500
P1 0.500 0.500 0.500


No. 11
# Sc2PW | Alexandria via LeMat-Bulk | GGA-PBEsol | relaxed
# - mass density (g/cm3) = 7.2
# - total energy (eV/cell) = -68.061
# - calculated formation energy (eV/f.u.) = -1.2
# - spin magnetization (μB/f.u.) = 0.0
data_Sc2PW
_chemical_formula_sum 'Sc4 P2 W2'
_space_group_name_H-M_alt 'C 1 m 1'
_space_group_IT_number 8
_space_group_name_Hall 'C -2y'
_cell_length_a 9.922
_cell_length_b 3.100
_cell_length_c 4.764
_cell_angle_alpha 90.00
_cell_angle_beta 106.84
_cell_angle_gamma 90.00
loop_
_atom_site_label
_atom_site_fract_x
_atom_site_fract_y
_atom_site_fract_z
Sc1 0.000 0.000 0.000
Sc2 0.204 0.000 0.669
P1 0.250 0.500 0.176
W1 0.430 0.000 0.443


No. 12
# Sc2PW | Alexandria via LeMat-Bulk | GGA-PBEsol | relaxed
# - mass density (g/cm3) = 6.7
# - total energy (eV/cell) = -94.168
# - calculated formation energy (eV/f.u.) = 1.4
# - spin magnetization (μB/f.u.) = 0.0
data_Sc2PW
_chemical_formula_sum 'Sc6 P3 W3'
_space_group_name_H-M_alt 'R -3 m'
_space_group_IT_number 166
_space_group_name_Hall '-R 3 2"'
_cell_length_a 2.9925
_cell_length_b 2.9925
_cell_length_c 29.2081
_cell_angle_alpha 90.00
_cell_angle_beta 90.00
_cell_angle_gamma 120.00
loop_
_atom_site_label
_atom_site_fract_x
_atom_site_fract_y
_atom_site_fract_z
Sc1 0.0000 0.0000 0.0881
P1 0.0000 0.0000 0.0000
W1 0.0000 0.0000 0.5000


> Which formula does entry 11 have?

Sc2PW


> Look up the total energy of the tenth one.

-23.708 eV/cell


> What is the mass density in the third record?

3.8 g/cm3


Please write out number 6 again, unchanged.
# Sc2TlP | Alexandria via LeMat-Bulk | GGA-PBEsol | relaxed
# - mass density (g/cm3) = 6.4
# - ΔE to the lowest computed polymorph (meV per atom) = 0
# - total energy (eV/cell) = -76.328
# - calculated formation energy (eV/f.u.) = -3.8
# - spin magnetization (μB/f.u.) = 0.0
data_Sc2TlP
_chemical_formula_sum 'Sc6 Tl3 P3'
_space_group_name_H-M_alt 'R -3 m'
_space_group_IT_number 166
_space_group_name_Hall '-R 3 2"'
_cell_length_a 3.6092
_cell_length_b 3.6092
_cell_length_c 22.5408
_cell_angle_alpha 90.00
_cell_angle_beta 90.00
_cell_angle_gamma 120.00
loop_
_atom_site_label
_atom_site_fract_x
_atom_site_fract_y
_atom_site_fract_z
Sc1 0.0000 0.0000 0.2320
Tl1 0.0000 0.0000 0.0000
P1 0.0000 0.0000 0.5000